# 1
A plane-wave DFT calculation with PBE-GGA was carried out for crystalline Ti3CrC at its relaxed geometry.

Summary:
Space group: Pm-3m (221)
M_tot in μB/f.u.: 0.01
Polymorph energy (0 for the lowest one) in kJ per mole of atoms: 0.0

abc: 4.138 4.138 4.138
angles: 90.00 90.00 90.00
Fractional coordinates of all 5 atoms:
Ti (0.000, 0.000, 0.500)
Ti (0.000, 0.500, 0.000)
Ti (0.500, 0.000, 0.000)
Cr (0.500, 0.500, 0.500)
C (0.000, 0.000, 0.000)

---

# 2
A plane-wave DFT calculation with PBE-GGA was carried out for crystalline TiCrC at its relaxed geometry.

Summary:
Space group: Pmmn (59)
M_tot in μB/f.u.: 0.00
Polymorph energy (0 for the lowest one) in kJ per mole of atoms: 2.6

abc: 2.879 4.295 5.497
angles: 90.00 90.00 90.00
Fractional coordinates of all 6 atoms:
Ti (0.250, 0.250, 0.122)
Ti (0.750, 0.750, 0.878)
Cr (0.250, 0.250, 0.611)
Cr (0.750, 0.750, 0.389)
C (0.250, 0.750, 0.155)
C (0.750, 0.250, 0.845)

---

# 3
A plane-wave DFT calculation with PBE-GGA was carried out for crystalline TiCrC3 at its relaxed geometry.

Summary:
Space group: Pm-3m (221)
M_tot in μB/f.u.: 0.00
Polymorph energy (0 for the lowest one) in kJ per mole of atoms: 0.0

abc: 3.733 3.733 3.733
angles: 90.00 90.00 90.00
Fractional coordinates of all 5 atoms:
Ti (0.000, 0.000, 0.000)
Cr (0.500, 0.500, 0.500)
C (0.000, 0.500, 0.500)
C (0.500, 0.000, 0.500)
C (0.500, 0.500, 0.000)

---

# 4
A plane-wave DFT calculation with PBE-GGA was carried out for crystalline TiCrC2 at its relaxed geometry.

Summary:
Space group: R-3m (166)
M_tot in μB/f.u.: 0.00
Electronic total energy in Ha/atom: -0.34259

abc: 5.150 5.150 5.150
angles: 33.43 33.43 33.43
Fractional coordinates of all 4 atoms:
Ti (0.000, 0.000, 0.000)
Cr (0.500, 0.500, 0.500)
C (0.246, 0.246, 0.246)
C (0.754, 0.754, 0.754)

---

# 5
A plane-wave DFT calculation with PBE-GGA was carried out for crystalline Ti2Cr2C3 at its relaxed geometry.

Summary:
Space group: C2/m (12)
M_tot in μB/f.u.: 0.00
Electronic total energy in Ha/atom: -0.34794

abc: 5.290 5.290 5.113
angles: 106.95 106.95 32.72
Fractional coordinates of all 7 atoms:
Ti (0.116, 0.116, 0.355)
Ti (0.884, 0.884, 0.645)
Cr (0.349, 0.349, 0.160)
Cr (0.651, 0.651, 0.840)
C (0.258, 0.258, 0.758)
C (0.500, 0.500, 0.500)
C (0.742, 0.742, 0.242)

---

# 6
A plane-wave DFT calculation with PBE-GGA was carried out for crystalline TiCr2C at its relaxed geometry.

Summary:
Space group: I-42d (122)
M_tot in μB/f.u.: 0.00
Electronic total energy in Ha/atom: -0.33240

abc: 5.147 5.147 5.147
angles: 99.98 99.98 130.79
Fractional coordinates of all 8 atoms:
Ti (0.000, 0.000, 0.000)
Ti (0.750, 0.250, 0.500)
Cr (0.232, 0.625, 0.107)
Cr (0.375, 0.482, 0.607)
Cr (0.518, 0.125, 0.893)
Cr (0.875, 0.768, 0.393)
C (0.250, 0.750, 0.500)
C (0.500, 0.500, 0.000)

---

Question: What is the M_tot in the second record?
Answer: 0.00 μB/f.u.

---

Copy entry 1 word for word.
A plane-wave DFT calculation with PBE-GGA was carried out for crystalline Ti3CrC at its relaxed geometry.

Summary:
Space group: Pm-3m (221)
M_tot in μB/f.u.: 0.01
Polymorph energy (0 for the lowest one) in kJ per mole of atoms: 0.0

abc: 4.138 4.138 4.138
angles: 90.00 90.00 90.00
Fractional coordinates of all 5 atoms:
Ti (0.000, 0.000, 0.500)
Ti (0.000, 0.500, 0.000)
Ti (0.500, 0.000, 0.000)
Cr (0.500, 0.500, 0.500)
C (0.000, 0.000, 0.000)